No. 1
A plane-wave DFT calculation with meta-GGA SCAN was carried out for ZrCo2Cl at its PBEsol-relaxed geometry.

Results
- crystal system = orthorhombic
- distance to the lowest polymorph of the same formula (kJ per mole of atoms) = 0.00
- M_tot (μB per cell) = 1.16
- energy relative to the elements, uncorrected (eV/atom) = 0.07
- total DFT energy (no corrections) (eV/atom) = -18.255

The structure in CIF format:
```
data_ZrCo2Cl
_chemical_formula_sum 'Zr1 Co2 Cl1'
_space_group_name_H-M_alt 'P m m m'
_space_group_IT_number 47
_space_group_name_Hall '-P 2 2'
_cell_length_a 3.118
_cell_length_b 3.711
_cell_length_c 4.872
_cell_angle_alpha 90.00
_cell_angle_beta 90.00
_cell_angle_gamma 90.00
loop_
_atom_site_label
_atom_site_fract_x
_atom_site_fract_y
_atom_site_fract_z
Zr1 0.000 0.000 0.000
Co1 0.500 0.500 0.244
Cl1 0.500 0.000 0.500
```

***

No. 2
A plane-wave DFT calculation with meta-GGA SCAN was carried out for ZrCo2Cl at its PBEsol-relaxed geometry.

Results
- crystal system = tetragonal
- distance to the lowest polymorph of the same formula (kJ per mole of atoms) = 12.63
- M_tot (μB per cell) = 3.77
- energy relative to the elements, uncorrected (eV/atom) = 0.20
- total DFT energy (no corrections) (eV/atom) = -18.124

The structure in CIF format:
```
data_ZrCo2Cl
_chemical_formula_sum 'Zr1 Co2 Cl1'
_space_group_name_H-M_alt 'P 4/m m m'
_space_group_IT_number 123
_space_group_name_Hall '-P 4 2'
_cell_length_a 3.471
_cell_length_b 3.471
_cell_length_c 4.815
_cell_angle_alpha 90.00
_cell_angle_beta 90.00
_cell_angle_gamma 90.00
loop_
_atom_site_label
_atom_site_fract_x
_atom_site_fract_y
_atom_site_fract_z
Zr1 0.000 0.000 0.000
Co1 0.000 0.500 0.500
Cl1 0.500 0.500 0.000
```